DFT (PBE-GGA) results for a relaxed Nb2Si3W4N3 crystal.

Summary:
- DFT total energy (eV/atom) = -9.6542
- space group = C2/c
- mass density (g/cm³) = 11.483

a b c (Å): 5.016 5.016 14.176
angles (deg): 100.40 100.40 60.28
Positions (direct):
1 N 0.000 0.500 0.000
2 N 0.660 0.178 0.000
3 N 0.822 0.340 0.500
4 N 0.500 0.000 0.500
5 N 0.178 0.660 0.500
6 N 0.340 0.822 0.000
7 Nb 0.385 0.548 0.154
8 Nb 0.452 0.615 0.346
9 Nb 0.548 0.385 0.654
10 Nb 0.615 0.452 0.846
11 Si 0.418 0.095 0.250
12 Si 0.933 0.067 0.250
13 Si 0.905 0.582 0.250
14 Si 0.095 0.418 0.750
15 Si 0.067 0.933 0.750
16 Si 0.582 0.905 0.750
17 W 0.026 0.198 0.090
18 W 0.697 0.858 0.091
19 W 0.142 0.303 0.409
20 W 0.802 0.974 0.410
21 W 0.198 0.026 0.590
22 W 0.858 0.697 0.591
23 W 0.303 0.142 0.909
24 W 0.974 0.802 0.910